{"formula": "Ge2HSe", "functional": "PBE-GGA", "state": "relaxed", "mass_density_g_cm3": 4.7, "dft_energy_ev_per_atom": -3.7036, "relative_energy_ev_per_atom": 0.0000, "cell": [[-2.658, -4.100, -0.295], [1.272, -0.486, -4.702], [4.559, -5.827, -0.713]], "species": ["Ge", "Ge", "Ge", "Ge", "Se", "Se", "H", "H"], "fractional_positions": [[0.247, 0.625, 0.250], [0.375, 0.497, 0.750], [0.875, 0.753, 0.750], [0.503, 0.125, 0.250], [0.750, 0.250, 0.500], [0.000, 0.000, 0.000], [0.500, 0.500, 0.000], [0.250, 0.750, 0.500]]}



{"formula": "GeHSe3", "functional": "PBE-GGA", "state": "relaxed", "mass_density_g_cm3": 4.0, "dft_energy_ev_per_atom": -2.8052, "relative_energy_ev_per_atom": 0.2297, "cell": [[5.046, 0.000, 0.000], [0.000, 5.046, 0.000], [0.000, 0.000, 5.046]], "species": ["H", "Se", "Se", "Se", "Ge"], "fractional_positions": [[0.500, 0.500, 0.500], [0.000, 0.000, 0.500], [0.500, 0.000, 0.000], [0.000, 0.500, 0.000], [0.000, 0.000, 0.000]]}



{"formula": "Ge2HSe", "functional": "PBE-GGA", "state": "relaxed", "mass_density_g_cm3": 5.4, "dft_energy_ev_per_atom": -3.4639, "relative_energy_ev_per_atom": 0.2397, "cell": [[1.798, 1.266, 4.058], [0.431, 4.477, 1.037], [-2.700, 1.891, 3.231]], "species": ["Ge", "Ge", "Se", "H"], "fractional_positions": [[0.250, 0.250, 0.250], [0.750, 0.750, 0.750], [0.500, 0.500, 0.500], [0.000, 0.000, 0.000]]}



{"formula": "Tb8Ge3HSe4", "functional": "PBE-GGA", "state": "relaxed", "mass_density_g_cm3": 7.7, "dft_energy_ev_per_atom": -5.5517, "cell": [[8.177, 0.000, 0.000], [0.000, 8.225, 0.028], [-4.088, -4.084, 5.785]], "species": ["H", "Ge", "Ge", "Ge", "Tb", "Tb", "Tb", "Tb", "Tb", "Tb", "Tb", "Tb", "Se", "Se", "Se", "Se"], "fractional_positions": [[0.000, 0.500, 0.000], [0.000, 0.500, 0.500], [0.500, 0.500, 0.500], [0.500, 0.500, 0.000], [0.250, 0.741, 0.499], [0.750, 0.259, 0.501], [0.751, 0.259, 0.008], [0.747, 0.740, 0.493], [0.249, 0.741, 0.992], [0.258, 0.259, 0.008], [0.742, 0.741, 0.992], [0.253, 0.260, 0.507], [0.000, 0.000, 0.500], [0.000, 0.000, 0.000], [0.500, 0.000, 0.000], [0.500, 0.000, 0.500]]}



{"formula": "TiGeH2Se", "functional": "PBE-GGA", "state": "relaxed", "mass_density_g_cm3": 4.2, "dft_energy_ev_per_atom": -4.3890, "cell": [[3.628, 0.000, 0.000], [0.000, 5.987, 0.000], [0.000, 0.000, 3.628]], "species": ["Ge", "H", "H", "Se", "Ti"], "fractional_positions": [[0.000, 0.000, 0.000], [0.500, 0.000, 0.000], [0.000, 0.000, 0.500], [0.000, 0.500, 0.000], [0.500, 0.500, 0.500]]}



{"formula": "Tl2GeHSe4", "functional": "PBE-GGA", "state": "relaxed", "mass_density_g_cm3": 6.9, "dft_energy_ev_per_atom": -3.3155, "cell": [[-7.641, -0.726, -2.422], [0.462, -7.823, -1.832], [1.829, 2.722, 7.629]], "species": ["Ge", "Ge", "Tl", "Tl", "Tl", "Tl", "Se", "Se", "Se", "Se", "Se", "Se", "Se", "Se", "H", "H"], "fractional_positions": [[0.500, 0.500, 0.500], [0.000, 0.000, 0.000], [0.500, 0.000, 0.000], [0.500, 0.000, 0.500], [0.500, 0.500, 0.000], [0.000, 0.000, 0.500], [0.711, 0.235, 0.473], [0.265, 0.789, 0.027], [0.826, 0.674, 0.523], [0.735, 0.211, 0.973], [0.174, 0.326, 0.023], [0.826, 0.674, 0.977], [0.174, 0.326, 0.477], [0.289, 0.765, 0.527], [0.000, 0.500, 0.500], [0.000, 0.500, 0.000]]}



{"formula": "Tm8Ge3HSe4", "functional": "PBE-GGA", "state": "relaxed", "mass_density_g_cm3": 8.5, "dft_energy_ev_per_atom": -5.4065, "cell": [[8.017, 0.000, 0.000], [0.000, 8.077, 0.035], [-4.009, -4.004, 5.673]], "species": ["Tm", "Tm", "Tm", "Tm", "Tm", "Tm", "Tm", "Tm", "Ge", "Ge", "Ge", "H", "Se", "Se", "Se", "Se"], "fractional_positions": [[0.254, 0.263, 0.508], [0.742, 0.739, 0.990], [0.752, 0.261, 0.010], [0.752, 0.261, 0.503], [0.248, 0.739, 0.990], [0.258, 0.261, 0.010], [0.746, 0.737, 0.492], [0.248, 0.739, 0.497], [0.500, 0.500, 0.500], [0.000, 0.500, 0.500], [0.500, 0.500, 0.000], [0.000, 0.500, 0.000], [0.000, 0.000, 0.500], [0.000, 0.000, 0.000], [0.500, 0.000, 0.500], [0.500, 0.000, 0.000]]}



{"formula": "Y8Ge3HSe4", "functional": "PBE-GGA", "state": "relaxed", "mass_density_g_cm3": 5.3, "dft_energy_ev_per_atom": -6.4795, "cell": [[8.152, 0.000, 0.000], [0.000, 8.210, 0.035], [-4.076, -4.071, 5.768]], "species": ["H", "Ge", "Ge", "Ge", "Y", "Y", "Y", "Y", "Y", "Y", "Y", "Y", "Se", "Se", "Se", "Se"], "fractional_positions": [[0.000, 0.500, 0.000], [0.000, 0.500, 0.500], [0.500, 0.500, 0.000], [0.500, 0.500, 0.500], [0.751, 0.259, 0.009], [0.249, 0.741, 0.991], [0.249, 0.741, 0.499], [0.742, 0.741, 0.991], [0.258, 0.259, 0.009], [0.254, 0.261, 0.508], [0.751, 0.259, 0.501], [0.746, 0.739, 0.492], [0.000, 0.000, 0.000], [0.500, 0.000, 0.500], [0.500, 0.000, 0.000], [0.000, 0.000, 0.500]]}



Ordered magnetization results: 0.0 0.7 0.0 0.0 1.8 0.0 0.0 0.0; unit μB/f.u..